# MgSi2SF

A relaxed MgSi2SF crystal (PBE, Alexandria).

Computed properties:
Space group: P4/mmm
Uncorrected formation energy: -0.0751 eV per atom

a b c (Å): 5.096 5.096 3.711
angles (deg): 90.00 90.00 90.00
Fractional coordinates of all 5 atoms:
Mg  0.000  0.000  0.000
Si  0.000  0.500  0.000
Si  0.500  0.000  0.000
S  0.500  0.500  0.500
F  0.000  0.000  0.500